# 1
Computed, not measured: a relaxed structure of GdPu2Ti at the PBE-GGA level of DFT. Values from VASP.

Calculated values
**Total moment**: 1.051 μB per atom
**Raw total energy**: -12.4536 eV/atom

```
&SYSTEM
  ibrav = 0, nat = 4, ntyp = 3
/
ATOMIC_SPECIES
Ti 47.87 Ti.upf
Pu 244.00 Pu.upf
Gd 157.25 Gd.upf
ATOMIC_POSITIONS crystal
Ti 0.5000 0.5000 0.0000
Pu 0.0000 0.0000 0.2205
Pu 0.0000 0.0000 0.7795
Gd 0.5000 0.5000 0.5000
CELL_PARAMETERS angstrom
3.2205 0.0000 0.0000
0.0000 3.2205 0.0000
0.0000 0.0000 9.3640
```

---

# 2
Computed, not measured: a relaxed structure of GdPuTl2 at the PBE-GGA level of DFT. Values from VASP.

Calculated values
**Total moment**: 3.358 μB per atom
**Distance to the lowest polymorph of the same formula**: 0 meV/atom

```
&SYSTEM
  ibrav = 0, nat = 4, ntyp = 3
/
ATOMIC_SPECIES
Tl 204.38 Tl.upf
Gd 157.25 Gd.upf
Pu 244.00 Pu.upf
ATOMIC_POSITIONS crystal
Tl 0.2500 0.2500 0.2501
Tl 0.7500 0.7500 0.7499
Gd 0.5000 0.5000 0.5000
Pu 0.0000 0.0000 0.0000
CELL_PARAMETERS angstrom
-0.6544 3.2858 -4.2688
-2.9409 -1.6355 -4.2572
-4.8410 2.2469 -0.9776
```

---

# 3
Computed, not measured: a relaxed structure of GdPuTl2 at the PBE-GGA level of DFT. Values from VASP.

Calculated values
**Total moment**: 0.222 μB per atom
**Distance to the lowest polymorph of the same formula**: 27 meV/atom

```
&SYSTEM
  ibrav = 0, nat = 4, ntyp = 3
/
ATOMIC_SPECIES
Pu 244.00 Pu.upf
Tl 204.38 Tl.upf
Gd 157.25 Gd.upf
ATOMIC_POSITIONS crystal
Pu 0.5000 0.5000 0.5000
Tl 0.0000 0.5000 0.0000
Gd 0.5000 0.0000 0.0000
Tl 0.0000 0.0000 0.5000
CELL_PARAMETERS angstrom
4.4886 0.0000 0.0000
0.0000 4.9883 0.0000
0.0000 0.0000 4.9883
```

---

# 4
Computed, not measured: a relaxed structure of GdPu2Tl at the PBE-GGA level of DFT. Values from VASP.

Calculated values
**Total moment**: 1.111 μB per atom
**Distance to the lowest polymorph of the same formula**: 0 meV/atom

```
&SYSTEM
  ibrav = 0, nat = 4, ntyp = 3
/
ATOMIC_SPECIES
Gd 157.25 Gd.upf
Pu 244.00 Pu.upf
Tl 204.38 Tl.upf
ATOMIC_POSITIONS crystal
Gd 0.5000 0.5000 0.5000
Pu 0.0000 0.0000 0.2376
Tl 0.5000 0.5000 0.0000
Pu 0.0000 0.0000 0.7624
CELL_PARAMETERS angstrom
-0.8141 0.4249 -3.1788
-3.2024 0.0690 0.8293
0.5379 10.2153 1.2276
```

---

# 5
Computed, not measured: a relaxed structure of GdPu2Tl at the PBE-GGA level of DFT. Values from VASP.

Calculated values
**Total moment**: 1.369 μB per atom
**Distance to the lowest polymorph of the same formula**: 74 meV/atom

```
&SYSTEM
  ibrav = 0, nat = 4, ntyp = 3
/
ATOMIC_SPECIES
Gd 157.25 Gd.upf
Pu 244.00 Pu.upf
Tl 204.38 Tl.upf
ATOMIC_POSITIONS crystal
Gd 0.0000 0.0000 0.0000
Pu 0.7499 0.7499 0.7502
Pu 0.2501 0.2501 0.2498
Tl 0.5000 0.5000 0.5000
CELL_PARAMETERS angstrom
5.3983 0.0000 0.0000
2.6992 4.6751 0.0000
2.6992 1.5584 4.4106
```

---

# 6
Computed, not measured: a relaxed structure of GdTmPuTl at the PBE-GGA level of DFT. Values from VASP.

Calculated values
**Total moment**: 0.130 μB per atom
**Raw total energy**: -8.7453 eV/atom

```
&SYSTEM
  ibrav = 0, nat = 4, ntyp = 4
/
ATOMIC_SPECIES
Gd 157.25 Gd.upf
Tl 204.38 Tl.upf
Tm 168.93 Tm.upf
Pu 244.00 Pu.upf
ATOMIC_POSITIONS crystal
Gd 0.7500 0.7500 0.7500
Tl 0.0000 0.0000 0.0000
Tm 0.5000 0.5000 0.5000
Pu 0.2500 0.2500 0.2500
CELL_PARAMETERS angstrom
-0.0419 -5.4286 -0.4959
0.7881 -3.1436 4.3834
-4.1363 -2.8933 2.0586
```

---

# 7
Computed, not measured: a relaxed structure of GdPuTlZn at the PBE-GGA level of DFT. Values from VASP.

Calculated values
**Total moment**: 3.348 μB per atom
**Raw total energy**: -8.1720 eV/atom

```
&SYSTEM
  ibrav = 0, nat = 4, ntyp = 4
/
ATOMIC_SPECIES
Pu 244.00 Pu.upf
Gd 157.25 Gd.upf
Zn 65.41 Zn.upf
Tl 204.38 Tl.upf
ATOMIC_POSITIONS crystal
Pu 0.7500 0.7500 0.7500
Gd 0.2500 0.2500 0.2500
Zn 0.0000 0.0000 0.0000
Tl 0.5000 0.5000 0.5000
CELL_PARAMETERS angstrom
5.2743 0.0000 0.0000
2.6372 4.5677 0.0000
2.6372 1.5226 4.3065
```

---

# 8
Computed, not measured: a relaxed structure of GdTmPu2 at the PBE-GGA level of DFT. Values from VASP.

Calculated values
**Total moment**: 5.007 μB per atom
**Distance to the lowest polymorph of the same formula**: 100 meV/atom

```
&SYSTEM
  ibrav = 0, nat = 4, ntyp = 3
/
ATOMIC_SPECIES
Gd 157.25 Gd.upf
Pu 244.00 Pu.upf
Tm 168.93 Tm.upf
ATOMIC_POSITIONS crystal
Gd 0.0000 0.0000 0.0000
Pu 0.7500 0.7500 0.7500
Pu 0.2500 0.2500 0.2500
Tm 0.5000 0.5000 0.5000
CELL_PARAMETERS angstrom
5.4851 0.0000 0.0000
2.7425 4.7502 0.0000
2.7425 1.5834 4.4785
```

---

# 9
Computed, not measured: a relaxed structure of GdTmPu at the PBE-GGA level of DFT. Values from VASP.

Calculated values
**Total moment**: 0.376 μB per atom
**Distance to the lowest polymorph of the same formula**: 0 meV/atom

```
&SYSTEM
  ibrav = 0, nat = 3, ntyp = 3
/
ATOMIC_SPECIES
Gd 157.25 Gd.upf
Pu 244.00 Pu.upf
Tm 168.93 Tm.upf
ATOMIC_POSITIONS crystal
Gd 0.3355 0.6667 0.3333
Pu 0.6682 0.3333 0.6667
Tm 0.9963 0.0000 0.0000
CELL_PARAMETERS angstrom
8.4653 0.0000 0.0000
0.0000 3.4994 0.0000
0.0000 -1.7497 3.0306
```

---

# 10
Computed, not measured: a relaxed structure of GdTmPu at the PBE-GGA level of DFT. Values from VASP.

Calculated values
**Total moment**: 4.459 μB per atom
**Distance to the lowest polymorph of the same formula**: 4 meV/atom

```
&SYSTEM
  ibrav = 0, nat = 3, ntyp = 3
/
ATOMIC_SPECIES
Pu 244.00 Pu.upf
Gd 157.25 Gd.upf
Tm 168.93 Tm.upf
ATOMIC_POSITIONS crystal
Pu 0.6682 0.6682 0.3363
Gd 0.0028 0.0028 0.0056
Tm 0.3290 0.3290 0.6581
CELL_PARAMETERS angstrom
3.4890 0.0000 0.0000
0.0000 3.4890 0.0000
-1.7445 -1.7445 7.3838
```

---

# 11
Computed, not measured: a relaxed structure of GdTm2Pu at the PBE-GGA level of DFT. Values from VASP.

Calculated values
**Total moment**: 0.274 μB per atom
**Raw total energy**: -9.2089 eV/atom

```
&SYSTEM
  ibrav = 0, nat = 4, ntyp = 3
/
ATOMIC_SPECIES
Pu 244.00 Pu.upf
Tm 168.93 Tm.upf
Gd 157.25 Gd.upf
ATOMIC_POSITIONS crystal
Pu 0.5000 0.5000 0.5000
Tm 0.0000 0.0000 0.5000
Gd 0.5000 0.0000 0.0000
Tm 0.0000 0.5000 0.0000
CELL_PARAMETERS angstrom
-2.2064 3.7969 2.0935
-3.8381 -0.5384 -3.0685
-2.1631 -3.0433 3.2397
```

---

# 12
Computed, not measured: a relaxed structure of GdTmPu2 at the PBE-GGA level of DFT. Values from VASP.

Calculated values
**Total moment**: 5.010 μB per atom
**Distance to the lowest polymorph of the same formula**: 0 meV/atom

```
&SYSTEM
  ibrav = 0, nat = 4, ntyp = 3
/
ATOMIC_SPECIES
Gd 157.25 Gd.upf
Pu 244.00 Pu.upf
Tm 168.93 Tm.upf
ATOMIC_POSITIONS crystal
Gd 0.5000 0.5000 0.0000
Pu 0.0000 0.0000 0.7462
Pu 0.0000 0.0000 0.2538
Tm 0.5000 0.5000 0.5000
CELL_PARAMETERS angstrom
3.4085 0.0000 0.0000
0.0000 3.4085 0.0000
0.0000 0.0000 10.0412
```

---

# 13
Computed, not measured: a relaxed structure of GdYPu2 at the PBE-GGA level of DFT. Values from VASP.

Calculated values
**Total moment**: 5.033 μB per atom
**Distance to the lowest polymorph of the same formula**: 0 meV/atom

```
&SYSTEM
  ibrav = 0, nat = 4, ntyp = 3
/
ATOMIC_SPECIES
Y 88.91 Y.upf
Gd 157.25 Gd.upf
Pu 244.00 Pu.upf
ATOMIC_POSITIONS crystal
Y 0.5000 0.5000 0.5000
Gd 0.5000 0.5000 0.0000
Pu 0.0000 0.0000 0.7502
Pu 0.0000 0.0000 0.2498
CELL_PARAMETERS angstrom
3.4324 0.0000 0.0000
0.0000 3.4324 0.0000
0.0000 0.0000 10.1094
```

---

# 14
Computed, not measured: a relaxed structure of GdYPu2 at the PBE-GGA level of DFT. Values from VASP.

Calculated values
**Total moment**: 5.047 μB per atom
**Distance to the lowest polymorph of the same formula**: 95 meV/atom

```
&SYSTEM
  ibrav = 0, nat = 4, ntyp = 3
/
ATOMIC_SPECIES
Y 88.91 Y.upf
Gd 157.25 Gd.upf
Pu 244.00 Pu.upf
ATOMIC_POSITIONS crystal
Y 0.5000 0.5000 0.5000
Gd 0.0000 0.0000 0.0000
Pu 0.2500 0.2500 0.2500
Pu 0.7500 0.7500 0.7500
CELL_PARAMETERS angstrom
-3.3145 2.8568 -3.3605
-4.3653 -2.4571 -2.3125
-5.0998 1.3302 1.6318
```

---

# 15
Computed, not measured: a relaxed structure of GdY2Pu at the PBE-GGA level of DFT. Values from VASP.

Calculated values
**Total moment**: 0.147 μB per atom
**Distance to the lowest polymorph of the same formula**: 167 meV/atom

```
&SYSTEM
  ibrav = 0, nat = 4, ntyp = 3
/
ATOMIC_SPECIES
Pu 244.00 Pu.upf
Gd 157.25 Gd.upf
Y 88.91 Y.upf
ATOMIC_POSITIONS crystal
Pu 0.0000 0.0000 0.0000
Gd 0.5000 0.5000 0.5000
Y 0.0882 0.0882 0.7355
Y 0.9118 0.9118 0.2645
CELL_PARAMETERS angstrom
-0.8645 -2.6055 2.1123
2.4251 -1.5348 1.9394
-1.6157 6.6381 10.3669
```

---

| no. | D(E_F) (states/eV/cell) |
| --- | --- |
| 1 | 13.1 |
| 2 | 11.6 |
| 3 | 12.1 |
| 4 | 16.3 |
| 5 | 16.2 |
| 6 | 10.3 |
| 7 | 8.0 |
| 8 | 13.4 |
| 9 | 9.4 |
| 10 | 7.6 |
| 11 | 16.2 |
| 12 | 14.1 |
| 13 | 14.2 |
| 14 | 13.5 |
| 15 | 12.1 |